A) This record from Alexandria describes an optimized crystal structure of Sr3Pd2Au3. The functional is PBE.

Computed properties:
Its magnetic moment is 0.00 μB/f.u.

Cell lengths 4.5195, 6.1324, 16.5073 Å; angles 90.00, 90.00, 111.62 degrees
Positions (direct):
Sr (0.8824, 0.7647, 0.4100)
Sr (0.6117, 0.2235, 0.2500)
Au (0.4073, 0.8146, 0.9463)
Sr (0.8824, 0.7647, 0.0900)
Au (0.5927, 0.1854, 0.4463)
Sr (0.1176, 0.2353, 0.5900)
Pd (0.1845, 0.3689, 0.3813)
Pd (0.8155, 0.6311, 0.6187)
Au (0.5927, 0.1854, 0.0537)
Au (0.3313, 0.6627, 0.2500)
Au (0.4073, 0.8146, 0.5537)
Sr (0.1176, 0.2353, 0.9100)
Sr (0.3883, 0.7765, 0.7500)
Au (0.6687, 0.3373, 0.7500)
Pd (0.8155, 0.6311, 0.8813)
Pd (0.1845, 0.3689, 0.1187)


B) This record from Alexandria describes an optimized crystal structure of Sr3Pd2Au3. The functional is PBE.

Computed properties:
Its magnetic moment is 0.00 μB/f.u.

Cell lengths 6.0058, 8.1932, 16.6000 Å; angles 90.00, 90.00, 90.00 degrees
Positions (direct):
Au (0.5902, 0.3257, 0.4658)
Sr (0.8767, 0.5327, 0.6025)
Pd (0.1262, 0.8774, 0.8854)
Pd (0.3738, 0.3774, 0.8854)
Pd (0.8738, 0.1226, 0.3854)
Sr (0.6261, 0.3330, 0.2500)
Au (0.0902, 0.1743, 0.5342)
Sr (0.6233, 0.0327, 0.8975)
Au (0.4098, 0.6743, 0.5342)
Au (0.1316, 0.1828, 0.2500)
Au (0.9098, 0.8257, 0.4658)
Au (0.8684, 0.8172, 0.7500)
Pd (0.6262, 0.6226, 0.1146)
Pd (0.8738, 0.1226, 0.1146)
Pd (0.1262, 0.8774, 0.6146)
Pd (0.3738, 0.3774, 0.6146)
Sr (0.3767, 0.9673, 0.3975)
Au (0.0902, 0.1743, 0.9658)
Pd (0.6262, 0.6226, 0.3854)
Au (0.6316, 0.3172, 0.7500)
Sr (0.3767, 0.9673, 0.1025)
Au (0.3684, 0.6828, 0.2500)
Sr (0.3739, 0.6670, 0.7500)
Sr (0.6233, 0.0327, 0.6025)
Sr (0.1233, 0.4673, 0.1025)
Sr (0.8739, 0.8330, 0.2500)
Sr (0.1233, 0.4673, 0.3975)
Au (0.5902, 0.3257, 0.0342)
Au (0.9098, 0.8257, 0.0342)
Sr (0.1261, 0.1670, 0.7500)
Sr (0.8767, 0.5327, 0.8975)
Au (0.4098, 0.6743, 0.9658)


Result of the stability comparison: B) is the least stable of them.


A) This record from Alexandria describes an optimized crystal structure of Sr4PdAu2. The functional is PBE.

Computed properties:
Its magnetic moment is 0.00 μB/f.u.

Cell lengths 7.8115, 7.8114, 8.3642 Å; angles 105.28, 105.28, 74.88 degrees
Positions (direct):
Sr (0.6425, 0.1251, 0.9735)
Sr (0.6188, 0.6188, 0.8364)
Sr (0.1251, 0.6425, 0.9735)
Sr (0.1160, 0.1160, 0.8307)
Sr (0.1215, 0.1215, 0.3396)
Sr (0.6525, 0.1404, 0.4727)
Sr (0.1404, 0.6525, 0.4727)
Pd (0.8420, 0.8420, 0.1985)
Au (0.4305, 0.9256, 0.6148)
Au (0.3401, 0.3401, 0.6996)
Au (0.9256, 0.4304, 0.6148)
Pd (0.8322, 0.8322, 0.6933)
Au (0.3376, 0.3376, 0.1940)
Sr (0.6253, 0.6254, 0.3360)


B) This record from Alexandria describes an optimized crystal structure of Sr4PdAu2. The functional is PBE.

Computed properties:
Its magnetic moment is 0.00 μB/f.u.

Cell lengths 5.4894, 5.4894, 9.9319 Å; angles 73.96, 73.96, 90.00 degrees
Positions (direct):
Au (0.8534, 0.8534, 0.2933)
Au (0.1466, 0.1466, 0.7067)
Sr (0.3157, 0.3157, 0.3686)
Pd (0.0000, 0.0000, 0.0000)
Sr (0.6843, 0.6843, 0.6314)
Sr (0.5000, 0.0000, 0.0000)
Sr (0.0000, 0.5000, 0.0000)


Result of the stability comparison: B) is the least stable of them.


A) This record from Alexandria describes an optimized crystal structure of Sr2PdAu3. The functional is PBE.

Computed properties:
Its magnetic moment is 0.00 μB/f.u.

Cell lengths 4.8649, 5.8616, 6.7655 Å; angles 115.67, 111.07, 90.00 degrees
Positions (direct):
Au (0.0000, 0.0000, 0.0000)
Sr (0.6939, 0.1939, 0.3878)
Au (0.3757, 0.3757, 0.7515)
Au (0.6243, 0.6243, 0.2485)
Pd (0.0000, 0.5000, 0.0000)
Sr (0.3061, 0.8061, 0.6122)


B) This record from Alexandria describes an optimized crystal structure of Sr2PdAu3. The functional is PBE.

Computed properties:
Its magnetic moment is 0.00 μB/f.u.

Cell lengths 3.9974, 4.7162, 8.1941 Å; angles 90.00, 90.00, 90.00 degrees
Positions (direct):
Sr (0.0000, 0.0000, 0.4930)
Sr (0.0000, 0.5000, 0.0091)
Pd (0.5000, 0.5000, 0.3309)
Au (0.5000, 0.0000, 0.8352)
Au (0.5000, 0.5000, 0.6597)
Au (0.5000, 0.0000, 0.1720)


Result of the stability comparison: A) is the least stable of them.


A) This record from Alexandria describes an optimized crystal structure of SrPd4Au. The functional is PBE.

Computed properties:
Its magnetic moment is 0.00 μB/f.u.

Cell lengths 5.4356, 5.4356, 5.4356 Å; angles 60.00, 60.00, 60.00 degrees
Positions (direct):
Au (0.0000, 0.0000, 0.0000)
Pd (0.1231, 0.6256, 0.6256)
Pd (0.6256, 0.6256, 0.1231)
Pd (0.6256, 0.6256, 0.6256)
Sr (0.2500, 0.2500, 0.2500)
Pd (0.6256, 0.1231, 0.6256)


B) This record from Alexandria describes an optimized crystal structure of SrPd4Au. The functional is PBE.

Computed properties:
Its magnetic moment is 0.00 μB/f.u.

Cell lengths 4.2351, 7.1160, 7.8594 Å; angles 90.00, 90.00, 90.00 degrees
Positions (direct):
Pd (0.5000, 0.9711, 0.7500)
Pd (0.5000, 0.7034, 0.0378)
Sr (0.0000, 0.3435, 0.2500)
Pd (0.5000, 0.0289, 0.2500)
Au (0.0000, 0.2483, 0.7500)
Au (0.0000, 0.7517, 0.2500)
Pd (0.0000, 0.0000, 0.0000)
Pd (0.5000, 0.7034, 0.4622)
Pd (0.5000, 0.2966, 0.9622)
Pd (0.5000, 0.2966, 0.5378)
Pd (0.0000, 0.0000, 0.5000)
Sr (0.0000, 0.6565, 0.7500)


Result of the stability comparison: B) is the least stable of them.


A) This record from Alexandria describes an optimized crystal structure of TaPdAu2. The functional is PBE.

Computed properties:
Its magnetic moment is 0.00 μB/f.u.

Cell lengths 3.7819, 6.1302, 6.6114 Å; angles 115.68, 90.00, 90.00 degrees
Positions (direct):
Au (0.7500, 0.0710, 0.8792)
Au (0.2500, 0.9290, 0.1208)
Ta (0.2500, 0.7070, 0.6217)
Pd (0.2500, 0.1818, 0.6089)
Au (0.2500, 0.4484, 0.1456)
Ta (0.7500, 0.2930, 0.3783)
Pd (0.7500, 0.8182, 0.3911)
Au (0.7500, 0.5516, 0.8544)


B) This record from Alexandria describes an optimized crystal structure of TaPdAu2. The functional is PBE.

Computed properties:
Its magnetic moment is 0.00 μB/f.u.

Cell lengths 4.5869, 4.5869, 4.5869 Å; angles 60.00, 60.00, 60.00 degrees
Positions (direct):
Ta (0.5000, 0.5000, 0.5000)
Pd (0.0000, 0.0000, 0.0000)
Au (0.2500, 0.2500, 0.2500)
Au (0.7500, 0.7500, 0.7500)


C) This record from Alexandria describes an optimized crystal structure of TaPdAu2. The functional is PBE.

Computed properties:
Its magnetic moment is 0.00 μB/f.u.

Cell lengths 2.9365, 2.9365, 9.4332 Å; angles 81.05, 81.05, 60.00 degrees
Positions (direct):
Au (0.2495, 0.2495, 0.2515)
Au (0.7505, 0.7505, 0.7485)
Ta (0.0000, 0.0000, 0.0000)
Pd (0.5000, 0.5000, 0.5000)


D) This record from Alexandria describes an optimized crystal structure of TaPdAu2. The functional is PBE.

Computed properties:
Its magnetic moment is 0.00 μB/f.u.

Cell lengths 2.9416, 2.9416, 7.9157 Å; angles 90.00, 90.00, 90.00 degrees
Positions (direct):
Au (0.0000, 0.0000, 0.7505)
Ta (0.5000, 0.5000, 0.5000)
Au (0.0000, 0.0000, 0.2495)
Pd (0.5000, 0.5000, 0.0000)


Result of the stability comparison: C) is the least stable of them.


A) This record from Alexandria describes an optimized crystal structure of TaPdAu2. The functional is PBE.

Computed properties:
Its magnetic moment is 0.00 μB/f.u.

Cell lengths 2.9560, 2.9560, 9.3341 Å; angles 80.89, 80.89, 60.00 degrees
Positions (direct):
Au (0.2498, 0.2498, 0.2506)
Ta (0.5000, 0.5000, 0.5001)
Au (0.0835, 0.0835, 0.7496)
Pd (0.6667, 0.6667, 0.9998)


B) This record from Alexandria describes an optimized crystal structure of TaPdAu2. The functional is PBE.

Computed properties:
Its magnetic moment is 0.00 μB/f.u.

Cell lengths 2.8448, 9.4012, 5.3292 Å; angles 90.00, 90.00, 90.00 degrees
Positions (direct):
Pd (0.0000, 0.7500, 0.9807)
Au (0.5000, 0.9781, 0.7205)
Pd (0.5000, 0.2500, 0.4807)
Ta (0.0000, 0.7500, 0.4807)
Ta (0.5000, 0.2500, 0.9807)
Au (0.0000, 0.0219, 0.2205)
Au (0.5000, 0.5218, 0.2409)
Au (0.0000, 0.4782, 0.7409)


Result of the stability comparison: B) is the least stable of them.


A) This record from Alexandria describes an optimized crystal structure of TaPd3Au4. The functional is PBE.

Computed properties:
Its magnetic moment is 0.00 μB/f.u.

Cell lengths 4.9625, 5.0453, 6.3926 Å; angles 104.73, 104.26, 110.91 degrees
Positions (direct):
Au (0.7465, 0.2461, 0.4927)
Ta (0.5000, 0.0000, 0.0000)
Au (0.3765, 0.3766, 0.7532)
Pd (0.0000, 0.5000, 0.0000)
Au (0.6235, 0.6234, 0.2468)
Pd (0.8809, 0.8810, 0.7620)
Au (0.2535, 0.7539, 0.5073)
Pd (0.1191, 0.1190, 0.2380)


B) This record from Alexandria describes an optimized crystal structure of TaPd3Au4. The functional is PBE.

Computed properties:
Its magnetic moment is 0.00 μB/f.u.

Cell lengths 4.8213, 2.9455, 10.8577 Å; angles 114.01, 102.83, 90.00 degrees
Positions (direct):
Au (0.3727, 0.1180, 0.7454)
Pd (0.2480, 0.2440, 0.4960)
Ta (0.5000, 0.0000, 0.0000)
Pd (0.0000, 0.5000, 0.0000)
Au (0.1239, 0.3717, 0.2477)
Pd (0.7520, 0.7560, 0.5040)
Au (0.8761, 0.6283, 0.7523)
Au (0.6273, 0.8820, 0.2546)


Result of the stability comparison: B) is the least stable of them.


A) This record from Alexandria describes an optimized crystal structure of TaPd4Au2. The functional is PBE.

Computed properties:
Its magnetic moment is 0.00 μB/f.u.

Cell lengths 7.0490, 7.0511, 7.0590 Å; angles 122.25, 121.34, 86.79 degrees
Positions (direct):
Pd (0.0173, 0.7454, 0.8954)
Ta (0.1562, 0.1558, 0.9992)
Pd (0.7410, 0.8752, 0.5601)
Pd (0.3761, 0.0311, 0.7611)
Au (0.6390, 0.4002, 0.3413)
Au (0.0572, 0.2972, 0.6577)
Pd (0.3152, 0.1824, 0.4404)
Au (0.7790, 0.3563, 0.8711)
Pd (0.5412, 0.6444, 0.7191)
Pd (0.2695, 0.6139, 0.2383)
Ta (0.0966, 0.5959, 0.5003)
Au (0.4856, 0.9086, 0.1296)
Pd (0.9259, 0.8219, 0.2816)
Pd (0.8502, 0.1218, 0.1049)


B) This record from Alexandria describes an optimized crystal structure of TaPd4Au2. The functional is PBE.

Computed properties:
Its magnetic moment is 0.00 μB/f.u.

Cell lengths 3.9801, 3.9801, 8.2633 Å; angles 103.94, 103.94, 90.00 degrees
Positions (direct):
Ta (0.0000, 0.0000, 0.0000)
Au (0.7454, 0.7454, 0.4908)
Au (0.2546, 0.2546, 0.5092)
Pd (0.1096, 0.6096, 0.2192)
Pd (0.6096, 0.1096, 0.2192)
Pd (0.8904, 0.3904, 0.7808)
Pd (0.3904, 0.8904, 0.7808)


Result of the stability comparison: B) is the least stable of them.


A) This record from Alexandria describes an optimized crystal structure of TaPdAu3. The functional is PBE.

Computed properties:
Its magnetic moment is 0.00 μB/f.u.

Cell lengths 4.5637, 5.5392, 8.3479 Å; angles 109.38, 90.00, 90.00 degrees
Positions (direct):
Au (0.2500, 0.2464, 0.2505)
Pd (0.7500, 0.4650, 0.7227)
Ta (0.7500, 0.5845, 0.4288)
Au (0.2500, 0.6853, 0.6275)
Ta (0.2500, 0.1556, 0.5712)
Au (0.7500, 0.9959, 0.7495)
Au (0.7500, 0.0578, 0.3725)
Pd (0.2500, 0.7423, 0.2773)
Au (0.7500, 0.4582, 0.0910)
Au (0.2500, 0.3672, 0.9090)


B) This record from Alexandria describes an optimized crystal structure of TaPdAu3. The functional is PBE.

Computed properties:
Its magnetic moment is 3.00 μB/f.u.

Cell lengths 4.9167, 4.9167, 4.9167 Å; angles 90.00, 90.00, 90.00 degrees
Positions (direct):
Au (0.5000, 0.0000, 0.0000)
Pd (0.0000, 0.0000, 0.0000)
Au (0.0000, 0.0000, 0.5000)
Au (0.0000, 0.5000, 0.0000)
Ta (0.5000, 0.5000, 0.5000)


Result of the stability comparison: B) is the least stable of them.


A) This record from Alexandria describes an optimized crystal structure of TaPdAu3. The functional is PBE.

Computed properties:
Its magnetic moment is 0.00 μB/f.u.

Cell lengths 5.0738, 5.0738, 5.0738 Å; angles 90.00, 90.00, 90.00 degrees
Positions (direct):
Ta (0.0000, 0.0000, 0.0000)
Pd (0.5000, 0.5000, 0.5000)
Au (0.0000, 0.0000, 0.5000)
Au (0.5000, 0.0000, 0.0000)
Au (0.0000, 0.5000, 0.0000)


B) This record from Alexandria describes an optimized crystal structure of TaPdAu3. The functional is PBE.

Computed properties:
Its magnetic moment is 0.00 μB/f.u.

Cell lengths 6.0317, 7.9349, 7.7305 Å; angles 90.00, 90.00, 90.00 degrees
Positions (direct):
Au (0.6222, 0.6780, 0.5678)
Au (0.3778, 0.3220, 0.0678)
Au (0.8778, 0.1780, 0.0678)
Pd (0.7150, 0.4930, 0.2500)
Au (0.7270, 0.3535, 0.7500)
Pd (0.7850, 0.9930, 0.7500)
Pd (0.2150, 0.0070, 0.2500)
Au (0.2270, 0.1465, 0.7500)
Au (0.3778, 0.3220, 0.4322)
Ta (0.5000, 0.0000, 0.5000)
Au (0.7730, 0.8535, 0.2500)
Au (0.2730, 0.6465, 0.2500)
Au (0.8778, 0.1780, 0.4322)
Au (0.1222, 0.8220, 0.5678)
Pd (0.2850, 0.5070, 0.7500)
Au (0.6222, 0.6780, 0.9322)
Ta (0.0000, 0.5000, 0.5000)
Au (0.1222, 0.8220, 0.9322)
Ta (0.5000, 0.0000, 0.0000)
Ta (0.0000, 0.5000, 0.0000)


Result of the stability comparison: A) is the least stable of them.